# Fe2ReBr | the Alexandria database | GGA-PBE | relaxed
data_Fe2ReBr
_chemical_formula_sum 'Fe2 Re1 Br1'
_symmetry_space_group_name_H-M 'P 1 m 1'
_symmetry_Int_Tables_number 6
_cell_length_a 2.896
_cell_length_b 4.269
_cell_length_c 4.752
_cell_angle_alpha 90.00
_cell_angle_beta 90.76
_cell_angle_gamma 90.00
loop_
_symmetry_equiv_pos_as_xyz
'x,y,z'
'x,-y,z'
loop_
_atom_site_label
_atom_site_type_symbol
_atom_site_fract_x
_atom_site_fract_y
_atom_site_fract_z
Fe1 Fe 0.000 0.000 0.000
Fe2 Fe 0.026 0.500 0.736
Re1 Re 0.519 0.500 0.188
Br1 Br 0.531 0.000 0.511
# density	10.679	g cm⁻³
# electronic total energy	-6.949	eV/atom
# relative energy among the computed polymorphs	262	meV per atom
# DOS at the Fermi energy	1.130	states/eV per atom